No. 1
! LiBeP (PBE-GGA, relaxed); values from VASP
! ΔH_f (0 K): 0.038 eV per atom
! raw total energy: -3.65 eV per atom
&SYSTEM
  ibrav = 0, nat = 3, ntyp = 3
/
ATOMIC_SPECIES
Li 6.94 Li.upf
Be 9.01 Be.upf
P 30.97 P.upf
CELL_PARAMETERS angstrom
0.000 2.570 4.371
1.912 0.000 4.371
1.912 2.570 0.000
ATOMIC_POSITIONS angstrom
Li 0.000 0.000 0.000
Be 1.912 2.570 2.559
P 1.912 2.570 6.108

***

No. 2
! Dy2Co12Si7 (PBE-GGA, relaxed); values from VASP
! E_form (uncorrected): -0.597 eV/atom
! raw total energy: -6.90 eV per atom
&SYSTEM
  ibrav = 0, nat = 21, ntyp = 3
/
ATOMIC_SPECIES
Dy 162.50 Dy.upf
Co 58.93 Co.upf
Si 28.09 Si.upf
CELL_PARAMETERS angstrom
9.124 0.000 0.000
-4.562 7.901 0.000
0.000 0.000 3.649
ATOMIC_POSITIONS angstrom
Dy 0.000 0.000 0.000
Dy 0.000 5.267 1.825
Co -3.080 6.091 1.825
Co -0.863 3.045 0.000
Co 0.827 2.188 1.825
Co -1.493 7.126 0.000
Co 3.003 1.817 0.000
Co 4.466 0.442 1.825
Co 2.711 3.813 1.825
Co 2.356 5.631 0.000
Co 2.253 7.523 1.825
Co 6.048 1.692 0.000
Co 4.634 4.392 0.000
Co 6.508 3.647 1.825
Si -2.256 4.952 0.000
Si 2.245 0.385 1.825
Si 1.401 3.471 0.000
Si 0.855 7.379 0.000
Si 4.562 2.634 1.825
Si 3.773 5.764 1.825
Si 7.667 1.752 1.825